No. 1
The following is a DFT calculation (PBE) of a relaxed ZnReAs crystal.

- Fermi-level density of states (states/eV/cell) = 1.273
- uncorrected energy (eV/atom) = -5.705
- energy of formation (meV/atom) = 418
- excess energy over the best structure of this formula in the dataset (meV per atom) = 306

a b c (Å): 8.2150 7.9878 2.7882
angles (deg): 84.73 75.52 19.75
Fractional coordinates of all 3 atoms:
As  0.9727  0.9727  0.0273
Re  0.3364  0.3364  0.6636
Zn  0.6909  0.6909  0.3091

=====

No. 2
The following is a DFT calculation (PBE) of a relaxed MoRhW crystal.

- Fermi-level density of states (states/eV/cell) = 1.910
- uncorrected energy (eV/atom) = -10.296
- energy of formation (meV/atom) = 82
- excess energy over the best structure of this formula in the dataset (meV per atom) = 141

a b c (Å): 4.4698 4.4698 2.6967
angles (deg): 90.00 90.00 120.00
Fractional coordinates of all 3 atoms:
Rh  0.6667  0.3333  0.4997
Mo  0.0000  0.0000  0.9998
W  0.3333  0.6667  0.5005

=====

No. 3
The following is a DFT calculation (PBE) of a relaxed Pm12Nd2Dy5 crystal.

- Fermi-level density of states (states/eV/cell) = 25.439
- uncorrected energy (eV/atom) = -4.588
- energy of formation (meV/atom) = 125
- excess energy over the best structure of this formula in the dataset (meV per atom) = 27

a b c (Å): 9.5018 9.5018 7.9989
angles (deg): 90.73 90.73 64.39
Fractional coordinates of all 19 atoms:
Pm  0.0386  0.5771  0.2067
Pm  0.4229  0.9614  0.7933
Pm  0.6205  0.1680  0.6109
Pm  0.3795  0.8320  0.3891
Pm  0.8406  0.8406  0.8773
Pm  0.9614  0.4229  0.7933
Pm  0.5771  0.0386  0.2067
Pm  0.4486  0.4486  0.2893
Pm  0.5514  0.5514  0.7107
Pm  0.1594  0.1594  0.1227
Pm  0.1680  0.6205  0.6109
Pm  0.8320  0.3795  0.3891
Dy  0.0000  0.0000  0.5000
Dy  0.2473  0.2473  0.4900
Dy  0.6473  0.6473  0.0826
Dy  0.7527  0.7527  0.5100
Dy  0.3527  0.3527  0.9174
Nd  0.7757  0.2243  0.0000
Nd  0.2243  0.7757  0.0000

=====

No. 4
The following is a DFT calculation (PBE) of a relaxed MnBe2Cr crystal.

- Fermi-level density of states (states/eV/cell) = 2.073
- uncorrected energy (eV/atom) = -6.611
- energy of formation (meV/atom) = -50
- excess energy over the best structure of this formula in the dataset (meV per atom) = 25

a b c (Å): 4.1999 4.1999 4.1999
angles (deg): 138.89 127.47 68.79
Fractional coordinates of all 4 atoms:
Be  0.7646  0.2646  0.5000
Be  0.9854  0.9854  0.0000
Mn  0.2478  0.7478  0.5000
Cr  0.5022  0.5022  0.0000

=====

No. 5
The following is a DFT calculation (PBE) of a relaxed Rb2PS4 crystal.

- Fermi-level density of states (states/eV/cell) = 5.379
- uncorrected energy (eV/atom) = -3.674
- excess energy over the best structure of this formula in the dataset (meV per atom) = 501

a b c (Å): 4.8661 4.8661 8.7266
angles (deg): 73.81 73.81 90.00
Fractional coordinates of all 7 atoms:
S  0.0000  0.5000  0.0000
S  0.8659  0.8659  0.2682
S  0.5000  0.0000  0.0000
S  0.1341  0.1341  0.7318
Rb  0.3547  0.3547  0.2906
Rb  0.6453  0.6453  0.7094
P  0.0000  0.0000  0.0000